EuMgPt2 | PBE-GGA | optimized geometry

Cell lengths 4.866, 4.866, 3.339 Å; angles 90.00, 90.00, 90.00 degrees
Positions (direct):
Eu 0.000 0.000 0.000
Mg 0.500 0.500 0.000
Pt 0.000 0.500 0.500
Pt 0.500 0.000 0.500

Summary:
space group: P4/mmm (123)
volume: 19.76 A^3/atom
E_tot: -6.72 eV/atom